Entry 1:
LaTbMgOs: relaxed, PBE.

## Properties
ΔH_f (0 K): -31 meV per atom
Calculated total energy: -5.6263 eV/atom
Fermi-level density of states: 0.88 states/eV per atom
Space-group type: F-43m, No. 216

Cell and atoms, written as extended XYZ:
```
4
Lattice="0.000 3.628 3.628 3.628 0.000 3.628 3.628 3.628 0.000" Properties=species:S:1:pos:R:3 pbc="T T T"
La 0.000 0.000 0.000
Tb 3.628 3.628 3.628
Mg 1.814 1.814 1.814
Os 5.443 5.443 5.443
```

Entry 2:
La2MgTeOs: relaxed, PBE.

## Properties
Raw formation energy: -248 kJ/mol of formula units
Calculated total energy: -5.6791 eV/atom
Fermi-level density of states: 0.71 states/eV per atom
Space-group type: P4/mmm, No. 123

Cell and atoms, written as extended XYZ:
```
5
Lattice="5.471 0.000 0.000 0.000 5.471 0.000 0.000 0.000 5.105" Properties=species:S:1:pos:R:3 pbc="T T T"
La 0.000 2.736 0.000
La 2.736 0.000 0.000
Mg 0.000 0.000 2.552
Te 2.736 2.736 2.552
Os 0.000 0.000 0.000
```

Entry 3:
LaTmMgOs: relaxed, PBE.

## Properties
ΔH_f (0 K): -56 meV per atom
Calculated total energy: -5.6116 eV/atom
Fermi-level density of states: 0.86 states/eV per atom
Space-group type: F-43m, No. 216

Cell and atoms, written as extended XYZ:
```
4
Lattice="0.000 3.598 3.598 3.598 0.000 3.598 3.598 3.598 0.000" Properties=species:S:1:pos:R:3 pbc="T T T"
La 0.000 0.000 0.000
Tm 3.598 3.598 3.598
Mg 1.799 1.799 1.799
Os 5.397 5.397 5.397
```

Entry 4:
LaYMgOs: relaxed, PBE.

## Properties
ΔH_f (0 K): -35 meV per atom
Calculated total energy: -6.0889 eV/atom
Fermi-level density of states: 0.93 states/eV per atom
Space-group type: F-43m, No. 216

Cell and atoms, written as extended XYZ:
```
4
Lattice="0.000 3.626 3.626 3.626 0.000 3.626 3.626 3.626 0.000" Properties=species:S:1:pos:R:3 pbc="T T T"
La 0.000 0.000 0.000
Y 3.626 3.626 3.626
Mg 1.813 1.813 1.813
Os 5.439 5.439 5.439
```

Entry 5:
LaY2MgOs: relaxed, PBE.

## Properties
ΔH_f (0 K): -28 meV per atom
Calculated total energy: -6.1635 eV/atom
Fermi-level density of states: 0.69 states/eV per atom
Space-group type: P4/mmm, No. 123

Cell and atoms, written as extended XYZ:
```
5
Lattice="5.456 0.000 0.000 0.000 5.456 0.000 0.000 0.000 5.544" Properties=species:S:1:pos:R:3 pbc="T T T"
La 0.000 0.000 0.000
Y 0.000 2.728 2.772
Y 2.728 0.000 2.772
Mg 2.728 2.728 0.000
Os 0.000 0.000 2.772
```

Entry 6:
La2MgZnOs: relaxed, PBE.

## Properties
ΔH_f (0 K): -12 meV per atom
Calculated total energy: -4.8028 eV/atom
Fermi-level density of states: 0.72 states/eV per atom
Space-group type: P4/mmm, No. 123

Cell and atoms, written as extended XYZ:
```
5
Lattice="5.499 0.000 0.000 0.000 5.499 0.000 0.000 0.000 5.024" Properties=species:S:1:pos:R:3 pbc="T T T"
La 0.000 2.750 0.000
La 2.750 0.000 0.000
Mg 0.000 0.000 2.512
Zn 2.750 2.750 2.512
Os 2.750 2.750 0.000
```

Entry 7:
La2MgP: relaxed, PBE.

## Properties
ΔH_f (0 K): -673 meV per atom
Calculated total energy: -4.8875 eV/atom
Offset from the most stable computed form: 22 kJ/mol of formula units
Fermi-level density of states: 0.88 states/eV per atom
Space-group type: Amm2, No. 38

Cell and atoms, written as extended XYZ:
```
4
Lattice="4.173 0.000 0.000 0.000 2.248 5.874 0.000 -2.248 5.874" Properties=species:S:1:pos:R:3 pbc="T T T"
La 0.000 0.000 0.000
La 2.086 0.000 3.492
Mg 0.000 0.000 8.283
P 2.086 0.000 6.589
```

Entry 8:
LaMgP2: relaxed, PBE.

## Properties
ΔH_f (0 K): -781 meV per atom
Calculated total energy: -5.1162 eV/atom
Fermi-level density of states: 0.45 states/eV per atom
Space-group type: Cm, No. 8

Cell and atoms, written as extended XYZ:
```
4
Lattice="5.078 -2.021 0.000 5.078 2.021 0.000 -0.439 0.000 4.449" Properties=species:S:1:pos:R:3 pbc="T T T"
La 0.000 0.000 0.000
Mg 2.446 0.000 2.414
P 5.010 0.000 2.241
P 6.762 0.000 3.973
```

Q: Which of these has the lowest calculated total energy?
A: LaY2MgOs

Please write out number 3 again, unchanged.
LaTmMgOs: relaxed, PBE.

## Properties
ΔH_f (0 K): -56 meV per atom
Calculated total energy: -5.6116 eV/atom
Fermi-level density of states: 0.86 states/eV per atom
Space-group type: F-43m, No. 216

Cell and atoms, written as extended XYZ:
```
4
Lattice="0.000 3.598 3.598 3.598 0.000 3.598 3.598 3.598 0.000" Properties=species:S:1:pos:R:3 pbc="T T T"
La 0.000 0.000 0.000
Tm 3.598 3.598 3.598
Mg 1.799 1.799 1.799
Os 5.397 5.397 5.397
```

Q: Number 6 is which compound?
A: La2MgZnOs